Here is a relaxed Cs2TmPu2Se6 crystal from Alexandria. Energies are from PBE-GGA.

abc: 7.267 12.574 8.885
angles: 90.00 105.71 90.00
Space group C2/m (No. 12)
Unique sites:
Cs 0.000 0.166 0.000 x4
Tm 0.000 0.000 0.500 x2
Pu 0.000 0.333 0.500 x4
Se 0.226 0.166 0.680 x8
Se 0.228 0.500 0.680 x4

Summary:
Total DFT energy (no corrections) = -145.0 eV per cell